An optimized crystal structure of Ti8Sn2H3, computed with PBE.

a b c (Å): 4.068 4.068 11.274
angles (deg): 90.00 90.00 90.00
Last column: magnetic moment on the atom in μB.
Atoms (fractional coordinates):
H (0.500, 0.500, 0.638)  0.00
Ti (0.500, 0.000, 0.000)  0.06
Sn (0.000, 0.000, 0.811)  0.00
Ti (0.500, 0.000, 0.378)  0.28
Ti (0.000, 0.500, 0.622)  0.28
H (0.500, 0.500, 0.362)  0.00
Ti (0.500, 0.000, 0.622)  0.28
Ti (0.000, 0.500, 0.000)  0.06
Ti (0.500, 0.500, 0.195)  -0.01
Sn (0.000, 0.000, 0.189)  0.00
Ti (0.000, 0.500, 0.378)  0.28
H (0.500, 0.500, 0.000)  0.00
Ti (0.500, 0.500, 0.805)  -0.01

Output
Energy relative to the lowest polymorph listed for this composition ... 0 meV/atom
Symmetry ... P4/mmm, No. 123
Volume ... 14.354 Å³/atom
Crystal system ... tetragonal